Entry from Alexandria via LeMat-Bulk: a relaxed Pr2ScAg crystal (PBE-GGA).

Calculated values
Total magnetic moment in μB/f.u.: 0.0
SG: No. 166
Energy relative to the elements in eV per formula unit: 0.928
Theoretical density in g cm⁻³: 6.28

Lattice parameters (Å, degrees): 11.826 11.826 11.826 16.39 16.39 16.39
Positions (direct):
Pr 0.092 0.092 0.092
Pr 0.908 0.908 0.908
Sc 0.000 0.000 0.000
Ag 0.500 0.500 0.500